This record from Alexandria via LeMat-Bulk describes AlRuI2N after structural relaxation. The functional is PBE-GGA.

Cell lengths 5.7083, 5.7083, 3.5102 Å; angles 90.00, 90.00, 90.00 degrees
Closest atoms and distances in Å follow each position.
Space group P4/mmm (No. 123)
One atom of each set of equivalent atoms:
Al 0.0000 0.0000 0.0000 x1  2 N 1.76
Ru 0.5000 0.5000 0.5000 x1  8 I 3.35, 2 Ru 3.51
I 0.0000 0.5000 0.0000 x2  2 Al 2.85
N 0.0000 0.0000 0.5000 x1  2 Al 1.76

## Properties
Its uncorrected formation energy is 806 meV/atom. Its offset from the most stable computed form is 437 meV/atom.